Record 1
VASP calculation (PBE-GGA) on InCu2Pt5 after structural relaxation.

CIF file:
```
data_InCu2Pt5
_chemical_formula_sum 'In2 Cu4 Pt10'
_cell_length_a 5.576
_cell_length_b 11.065
_cell_length_c 3.991
_cell_angle_alpha 90.00
_cell_angle_beta 90.00
_cell_angle_gamma 90.00
_symmetry_space_group_name_H-M 'P b a m'
_symmetry_Int_Tables_number 55
loop_
_symmetry_equiv_pos_as_xyz
'x,y,z'
'-x,-y,-z'
'-x,-y,z'
'x,y,-z'
'x+1/2,-y+1/2,-z'
'-x+1/2,y+1/2,z'
'-x+1/2,y+1/2,-z'
'x+1/2,-y+1/2,z'
loop_
_atom_site_label
_atom_site_fract_x
_atom_site_fract_y
_atom_site_fract_z
_atom_site_occupancy
In1 0.000 0.000 0.000 1
Cu1 0.233 0.369 0.500 1
Pt1 0.000 0.500 0.000 1
Pt2 0.007 0.751 0.000 1
Pt3 0.246 0.124 0.500 1
```

Results
Fermi-level density of states: 8.28 states/eV/cell
Calculated volume: 123.1 Å³/f.u.
Total DFT energy (no corrections): -5.38 eV per atom

Record 2
VASP calculation (PBE-GGA) on InCuPt after structural relaxation.

CIF file:
```
data_InCuPt
_chemical_formula_sum 'In1 Cu1 Pt1'
_cell_length_a 4.4110
_cell_length_b 4.4110
_cell_length_c 2.9250
_cell_angle_alpha 90.00
_cell_angle_beta 90.00
_cell_angle_gamma 120.00
_symmetry_space_group_name_H-M 'P 3 m 1'
_symmetry_Int_Tables_number 156
loop_
_symmetry_equiv_pos_as_xyz
'x,y,z'
'-y,x-y,z'
'-x+y,-x,z'
'-y,-x,z'
'-x+y,y,z'
'x,x-y,z'
loop_
_atom_site_label
_atom_site_fract_x
_atom_site_fract_y
_atom_site_fract_z
_atom_site_occupancy
In1 0.0000 0.0000 0.0000 1
Cu1 0.3333 0.6667 0.6433 1
Pt1 0.6667 0.3333 0.4364 1
```

Results
Fermi-level density of states: 1.23 states/eV/cell
Calculated volume: 49.3 Å³/f.u.
Energy above the most stable polymorph in this dataset: 84 meV per atom

Record 3
VASP calculation (PBE-GGA) on InCu3Pt6 after structural relaxation.

CIF file:
```
data_InCu3Pt6
_chemical_formula_sum 'In2 Cu6 Pt12'
_cell_length_a 8.413
_cell_length_b 4.030
_cell_length_c 8.911
_cell_angle_alpha 90.00
_cell_angle_beta 94.31
_cell_angle_gamma 90.00
_symmetry_space_group_name_H-M 'P 1 21/m 1'
_symmetry_Int_Tables_number 11
loop_
_symmetry_equiv_pos_as_xyz
'x,y,z'
'-x,-y,-z'
'-x,y+1/2,-z'
'x,-y+1/2,z'
loop_
_atom_site_label
_atom_site_fract_x
_atom_site_fract_y
_atom_site_fract_z
_atom_site_occupancy
In1 0.063 0.250 0.391 1
Cu1 0.254 0.250 0.006 1
Cu2 0.345 0.750 0.811 1
Cu3 0.447 0.250 0.604 1
Pt1 0.052 0.750 0.907 1
Pt2 0.157 0.250 0.710 1
Pt3 0.163 0.750 0.199 1
Pt4 0.269 0.750 0.512 1
Pt5 0.375 0.250 0.303 1
Pt6 0.460 0.750 0.100 1
```

Results
Fermi-level density of states: 16.69 states/eV/cell
Calculated volume: 150.6 Å³/f.u.
Total DFT energy (no corrections): -5.33 eV per atom

Record 4
VASP calculation (PBE-GGA) on InCuPt2 after structural relaxation.

CIF file:
```
data_InCuPt2
_chemical_formula_sum 'In4 Cu4 Pt8'
_cell_length_a 6.376
_cell_length_b 6.376
_cell_length_c 6.376
_cell_angle_alpha 90.00
_cell_angle_beta 90.00
_cell_angle_gamma 90.00
_symmetry_space_group_name_H-M 'F -4 3 m'
_symmetry_Int_Tables_number 216
_symmetry_space_group_name_Hall 'F -4 2 3'
loop_
_atom_site_label
_atom_site_fract_x
_atom_site_fract_y
_atom_site_fract_z
_atom_site_occupancy
In1 0.000 0.000 0.000 1
Cu1 0.250 0.250 0.750 1
Pt1 0.000 0.000 0.500 1
Pt2 0.250 0.250 0.250 1
```

Results
Fermi-level density of states: 5.60 states/eV/cell
Calculated volume: 64.8 Å³/f.u.
Total DFT energy (no corrections): -4.95 eV per atom